# SrLiTmAg PBE relaxed
# Space-group type   F-43m
# DOS(E_F)   4.26 states/eV/cell
# Uncorrected energy   -2.745 eV per atom
data_SrLiTmAg
_chemical_formula_sum 'Sr1 Li1 Tm1 Ag1'
_cell_length_a 5.357
_cell_length_b 5.357
_cell_length_c 5.357
_cell_angle_alpha 60.00
_cell_angle_beta 60.00
_cell_angle_gamma 60.00
_space_group_name_H-M_alt 'P 1'
_space_group_IT_number 1
loop_
_space_group_symop_operation_xyz
'x,y,z'
loop_
_atom_site_label
_atom_site_fract_x
_atom_site_fract_y
_atom_site_fract_z
Sr1 0.000 0.000 0.000
Li1 0.750 0.750 0.750
Tm1 0.500 0.500 0.500
Ag1 0.250 0.250 0.250

=====

# SrLiVAg2 PBE relaxed
# Space-group type   P4/mmm
# DOS(E_F)   4.68 states/eV/cell
# Uncorrected energy   -3.216 eV per atom
data_SrLiVAg2
_chemical_formula_sum 'Sr1 Li1 V1 Ag2'
_cell_length_a 5.190
_cell_length_b 5.190
_cell_length_c 4.873
_cell_angle_alpha 90.00
_cell_angle_beta 90.00
_cell_angle_gamma 90.00
_space_group_name_H-M_alt 'P 1'
_space_group_IT_number 1
loop_
_space_group_symop_operation_xyz
'x,y,z'
loop_
_atom_site_label
_atom_site_fract_x
_atom_site_fract_y
_atom_site_fract_z
Sr1 0.000 0.000 0.000
Li1 0.500 0.500 0.000
V1 0.500 0.500 0.500
Ag1 0.000 0.500 0.500
Ag2 0.500 0.000 0.500